First-principles (PBE+U) data for a relaxed CrIn2WO8 crystal, as listed in Alexandria.

The raw total energy comes out at -79.8 eV/f.u.

The space group is Cmmm (No. 65) and the conventional cell measures 6.707, 6.994 and 6.282 Å, with angles of 90.00, 90.00 and 90.00 degrees. The inequivalent atoms are Cr at (0.000, 0.000, 0.000), In at (0.000, 0.500, 0.246), W at (0.000, 0.000, 0.500), O at (0.000, 0.180, 0.259), O at (0.210, 0.500, 0.500) and O at (0.221, 0.500, 0.000).